Compound: LiMn3Ir
Source: Alexandria
Functional: PBEsol
Structure: relaxed

## Properties
- theoretical density (g cm⁻³) = 11.1
- E_tot (eV/atom) = -7.117
- calculated formation energy (eV per formula unit) = 5.5
- crystal system = cubic
- DOS(E_F) (states/eV per cell) = 5.44

Geometry as CIF:
```
data_LiMn3Ir
_space_group_name_H-M_alt 'P m -3 m'
_space_group_IT_number 221
_space_group_name_Hall '-P 4 2 3'
_cell_length_a 3.793
_cell_length_b 3.793
_cell_length_c 3.793
_cell_angle_alpha 90.00
_cell_angle_beta 90.00
_cell_angle_gamma 90.00
loop_
_atom_site_label
_atom_site_fract_x
_atom_site_fract_y
_atom_site_fract_z
Li1 0.000 0.000 0.000
Mn1 0.000 0.000 0.500
Ir1 0.500 0.500 0.500
```